No. 1
# LiFeAs2 | Alexandria | SCAN | PBEsol geometry
data_LiFeAs2
_chemical_formula_sum 'Li1 Fe1 As2'
_cell_length_a 3.403
_cell_length_b 3.403
_cell_length_c 4.875
_cell_angle_alpha 90.00
_cell_angle_beta 90.00
_cell_angle_gamma 90.00
_space_group_name_H-M_alt 'P 4 m m'
_space_group_IT_number 99
_space_group_name_Hall 'P 4 -2'
loop_
_atom_site_label
_atom_site_fract_x
_atom_site_fract_y
_atom_site_fract_z
Li1 0.000 0.000 0.000
Fe1 0.500 0.500 0.692
As1 0.000 0.000 0.512
As2 0.500 0.500 0.183
# * formation energy: -0.063 eV per atom
# * uncorrected energy: -61.2 eV for the cell shown
# * DOS(E_F): 1.7 states/eV/cell
# * crystal system: tetragonal
# * magnetic moment: 2.6 μB/cell
# * E above lowest polymorph: 0.000 eV per atom

---

No. 2
# Cr2GaC | Alexandria | SCAN | PBEsol geometry
data_Cr2GaC
_chemical_formula_sum 'Cr4 Ga2 C2'
_cell_length_a 2.8326
_cell_length_b 2.8326
_cell_length_c 12.3665
_cell_angle_alpha 90.00
_cell_angle_beta 90.00
_cell_angle_gamma 120.00
_space_group_name_H-M_alt 'P 63/m m c'
_space_group_IT_number 194
_space_group_name_Hall '-P 6c 2c'
loop_
_atom_site_label
_atom_site_fract_x
_atom_site_fract_y
_atom_site_fract_z
Cr1 0.3333 0.6667 0.0851
Ga1 0.3333 0.6667 0.7500
C1 0.0000 0.0000 0.0000
# * formation energy: -0.129 eV per atom
# * uncorrected energy: -127.5 eV for the cell shown
# * DOS(E_F): 5.0 states/eV/cell
# * crystal system: hexagonal
# * magnetic moment: 0.0 μB/cell
# * E above lowest polymorph: 0.000 eV per atom